# 1
The following is a DFT calculation (PBE) of KLa2W after structural relaxation.

```
data_KLa2W
_cell_length_a 7.787
_cell_length_b 7.787
_cell_length_c 7.787
_cell_angle_alpha 90.00
_cell_angle_beta 90.00
_cell_angle_gamma 90.00
_space_group_name_H-M_alt 'F -4 3 m'
_space_group_IT_number 216
_space_group_name_Hall 'F -4 2 3'
loop_
_atom_site_label
_atom_site_fract_x
_atom_site_fract_y
_atom_site_fract_z
K1 0.000 0.000 0.000
La1 0.000 0.000 0.500
La2 0.250 0.250 0.250
W1 0.250 0.250 0.750
```

* energy above the lowest structure with this stoichiometry: 0.757 eV/atom
* magnetization: 1.570 μB/f.u.
* total DFT energy (no corrections): -75.704 eV/cell

# 2
The following is a DFT calculation (PBE) of KLa2W after structural relaxation.

```
data_KLa2W
_cell_length_a 8.467
_cell_length_b 3.322
_cell_length_c 10.573
_cell_angle_alpha 90.00
_cell_angle_beta 93.68
_cell_angle_gamma 90.00
_space_group_name_H-M_alt 'C 1 2/m 1'
_space_group_IT_number 12
loop_
_space_group_symop_operation_xyz
'x,y,z'
'-x,-y,-z'
'-x,y,-z'
'x,-y,z'
'x+1/2,y+1/2,z'
'-x+1/2,-y+1/2,-z'
'-x+1/2,y+1/2,-z'
'x+1/2,-y+1/2,z'
loop_
_atom_site_label
_atom_site_fract_x
_atom_site_fract_y
_atom_site_fract_z
K1 0.000 0.000 0.000
La1 0.233 0.000 0.662
W1 0.000 0.500 0.500
```

* energy above the lowest structure with this stoichiometry: 0.195 eV/atom
* magnetization: 0.000 μB/f.u.
* total DFT energy (no corrections): -42.352 eV/cell

# 3
The following is a DFT calculation (PBE) of KLa2W after structural relaxation.

```
data_KLa2W
_cell_length_a 7.463
_cell_length_b 10.260
_cell_length_c 3.025
_cell_angle_alpha 90.00
_cell_angle_beta 103.31
_cell_angle_gamma 90.00
_space_group_name_H-M_alt 'C 1 2/m 1'
_space_group_IT_number 12
loop_
_space_group_symop_operation_xyz
'x,y,z'
'-x,-y,-z'
'-x,y,-z'
'x,-y,z'
'x+1/2,y+1/2,z'
'-x+1/2,-y+1/2,-z'
'-x+1/2,y+1/2,-z'
'x+1/2,-y+1/2,z'
loop_
_atom_site_label
_atom_site_fract_x
_atom_site_fract_y
_atom_site_fract_z
K1 0.000 0.000 0.000
La1 0.250 0.250 0.500
W1 0.000 0.500 0.000
```

* energy above the lowest structure with this stoichiometry: 0.623 eV/atom
* magnetization: 0.000 μB/f.u.
* total DFT energy (no corrections): -38.928 eV/cell

# 4
The following is a DFT calculation (PBE) of KLaW2 after structural relaxation.

```
data_KLaW2
_cell_length_a 4.025
_cell_length_b 4.025
_cell_length_c 22.554
_cell_angle_alpha 90.00
_cell_angle_beta 90.00
_cell_angle_gamma 90.00
_space_group_name_H-M_alt 'I -4 2 d'
_space_group_IT_number 122
_space_group_name_Hall 'I -4 2bw'
loop_
_atom_site_label
_atom_site_fract_x
_atom_site_fract_y
_atom_site_fract_z
K1 0.000 0.000 0.000
La1 0.000 0.000 0.500
W1 0.225 0.250 0.625
```

* energy above the lowest structure with this stoichiometry: 0.937 eV/atom
* magnetization: 0.000 μB/f.u.
* total DFT energy (no corrections): -101.456 eV/cell

# 5
The following is a DFT calculation (PBE) of KLaW2 after structural relaxation.

```
data_KLaW2
_cell_length_a 8.347
_cell_length_b 3.168
_cell_length_c 9.383
_cell_angle_alpha 90.00
_cell_angle_beta 93.30
_cell_angle_gamma 90.00
_space_group_name_H-M_alt 'C 1 m 1'
_space_group_IT_number 8
loop_
_space_group_symop_operation_xyz
'x,y,z'
'x,-y,z'
'x+1/2,y+1/2,z'
'x+1/2,-y+1/2,z'
loop_
_atom_site_label
_atom_site_fract_x
_atom_site_fract_y
_atom_site_fract_z
K1 0.000 0.000 0.000
La1 0.229 0.000 0.584
W1 0.262 0.500 0.279
W2 0.484 0.000 0.383
```

* energy above the lowest structure with this stoichiometry: 0.190 eV/atom
* magnetization: 0.000 μB/f.u.
* total DFT energy (no corrections): -56.707 eV/cell

# 6
The following is a DFT calculation (PBE) of KLaW2 after structural relaxation.

```
data_KLaW2
_cell_length_a 3.325
_cell_length_b 5.171
_cell_length_c 11.593
_cell_angle_alpha 90.00
_cell_angle_beta 90.00
_cell_angle_gamma 90.00
_space_group_name_H-M_alt 'C m m 2'
_space_group_IT_number 35
loop_
_space_group_symop_operation_xyz
'x,y,z'
'-x,-y,z'
'-x,y,z'
'x,-y,z'
'x+1/2,y+1/2,z'
'-x+1/2,-y+1/2,z'
'-x+1/2,y+1/2,z'
'x+1/2,-y+1/2,z'
loop_
_atom_site_label
_atom_site_fract_x
_atom_site_fract_y
_atom_site_fract_z
K1 0.000 0.000 0.000
La1 0.000 0.500 0.660
W1 0.000 0.000 0.431
W2 0.000 0.500 0.267
```

* energy above the lowest structure with this stoichiometry: 0.123 eV/atom
* magnetization: 0.000 μB/f.u.
* total DFT energy (no corrections): -57.240 eV/cell

# 7
The following is a DFT calculation (PBE) of KLaW2 after structural relaxation.

```
data_KLaW2
_cell_length_a 4.052
_cell_length_b 4.052
_cell_length_c 7.524
_cell_angle_alpha 90.00
_cell_angle_beta 90.00
_cell_angle_gamma 90.00
_space_group_name_H-M_alt 'P 4/m m m'
_space_group_IT_number 123
_space_group_name_Hall '-P 4 2'
loop_
_atom_site_label
_atom_site_fract_x
_atom_site_fract_y
_atom_site_fract_z
K1 0.000 0.000 0.000
La1 0.000 0.000 0.500
W1 0.500 0.500 0.346
```

* energy above the lowest structure with this stoichiometry: 0.702 eV/atom
* magnetization: 0.322 μB/f.u.
* total DFT energy (no corrections): -26.302 eV/cell

# 8
The following is a DFT calculation (PBE) of KLa2W after structural relaxation.

```
data_KLa2W
_cell_length_a 7.632
_cell_length_b 7.632
_cell_length_c 7.632
_cell_angle_alpha 90.00
_cell_angle_beta 90.00
_cell_angle_gamma 90.00
_space_group_name_H-M_alt 'F m -3 m'
_space_group_IT_number 225
_space_group_name_Hall '-F 4 2 3'
loop_
_atom_site_label
_atom_site_fract_x
_atom_site_fract_y
_atom_site_fract_z
K1 0.000 0.000 0.000
La1 0.250 0.250 0.250
W1 0.000 0.000 0.500
```

* energy above the lowest structure with this stoichiometry: 0.421 eV/atom
* magnetization: 0.000 μB/f.u.
* total DFT energy (no corrections): -81.081 eV/cell

# 9
The following is a DFT calculation (PBE) of KLa2W after structural relaxation.

```
data_KLa2W
_cell_length_a 3.598
_cell_length_b 5.556
_cell_length_c 12.343
_cell_angle_alpha 90.00
_cell_angle_beta 90.00
_cell_angle_gamma 90.00
_space_group_name_H-M_alt 'C m m 2'
_space_group_IT_number 35
loop_
_space_group_symop_operation_xyz
'x,y,z'
'-x,-y,z'
'-x,y,z'
'x,-y,z'
'x+1/2,y+1/2,z'
'-x+1/2,-y+1/2,z'
'-x+1/2,y+1/2,z'
'x+1/2,-y+1/2,z'
loop_
_atom_site_label
_atom_site_fract_x
_atom_site_fract_y
_atom_site_fract_z
K1 0.000 0.000 0.000
La1 0.000 0.000 0.592
La2 0.000 0.500 0.314
W1 0.000 0.500 0.761
```

* energy above the lowest structure with this stoichiometry: 0.416 eV/atom
* magnetization: 0.000 μB/f.u.
* total DFT energy (no corrections): -40.585 eV/cell

# 10
The following is a DFT calculation (PBE) of KLaW after structural relaxation.

```
data_KLaW
_cell_length_a 7.412
_cell_length_b 7.412
_cell_length_c 7.412
_cell_angle_alpha 90.00
_cell_angle_beta 90.00
_cell_angle_gamma 90.00
_space_group_name_H-M_alt 'F -4 3 m'
_space_group_IT_number 216
_space_group_name_Hall 'F -4 2 3'
loop_
_atom_site_label
_atom_site_fract_x
_atom_site_fract_y
_atom_site_fract_z
K1 0.000 0.000 0.000
La1 0.000 0.000 0.500
W1 0.250 0.250 0.250
```

* energy above the lowest structure with this stoichiometry: 0.705 eV/atom
* magnetization: 2.556 μB/f.u.
* total DFT energy (no corrections): -54.365 eV/cell

# 11
The following is a DFT calculation (PBE) of KLa4W after structural relaxation.

```
data_KLa4W
_cell_length_a 9.335
_cell_length_b 9.335
_cell_length_c 9.335
_cell_angle_alpha 90.00
_cell_angle_beta 90.00
_cell_angle_gamma 90.00
_space_group_name_H-M_alt 'F -4 3 m'
_space_group_IT_number 216
_space_group_name_Hall 'F -4 2 3'
loop_
_atom_site_label
_atom_site_fract_x
_atom_site_fract_y
_atom_site_fract_z
K1 0.000 0.000 0.000
La1 0.119 0.119 0.619
W1 0.250 0.250 0.250
```

* magnetization: 2.500 μB/f.u.
* total DFT energy (no corrections): -108.583 eV/cell

# 12
The following is a DFT calculation (PBE) of KLaW after structural relaxation.

```
data_KLaW
_cell_length_a 5.6788
_cell_length_b 5.6788
_cell_length_c 2.8043
_cell_angle_alpha 90.00
_cell_angle_beta 90.00
_cell_angle_gamma 120.00
_space_group_name_H-M_alt 'P 3 m 1'
_space_group_IT_number 156
loop_
_space_group_symop_operation_xyz
'x,y,z'
'-y,x-y,z'
'-x+y,-x,z'
'-y,-x,z'
'-x+y,y,z'
'x,x-y,z'
loop_
_atom_site_label
_atom_site_fract_x
_atom_site_fract_y
_atom_site_fract_z
K1 0.0000 0.0000 0.0000
La1 0.6667 0.3333 0.0026
W1 0.3333 0.6667 0.5026
```

* energy above the lowest structure with this stoichiometry: 0.225 eV/atom
* magnetization: 0.014 μB/f.u.
* total DFT energy (no corrections): -15.030 eV/cell

# 13
The following is a DFT calculation (PBE) of KLa2W after structural relaxation.

```
data_KLa2W
_cell_length_a 3.7024
_cell_length_b 3.7024
_cell_length_c 36.3928
_cell_angle_alpha 90.00
_cell_angle_beta 90.00
_cell_angle_gamma 120.00
_space_group_name_H-M_alt 'R -3 m'
_space_group_IT_number 166
_space_group_name_Hall '-R 3 2"'
loop_
_atom_site_label
_atom_site_fract_x
_atom_site_fract_y
_atom_site_fract_z
K1 0.0000 0.0000 0.0000
La1 0.0000 0.0000 0.2244
W1 0.0000 0.0000 0.5000
```

* energy above the lowest structure with this stoichiometry: 0.183 eV/atom
* magnetization: 0.000 μB/f.u.
* total DFT energy (no corrections): -63.671 eV/cell

# 14
The following is a DFT calculation (PBE) of KLa2W after structural relaxation.

```
data_KLa2W
_cell_length_a 3.488
_cell_length_b 4.869
_cell_length_c 18.443
_cell_angle_alpha 90.00
_cell_angle_beta 90.00
_cell_angle_gamma 90.00
_space_group_name_H-M_alt 'I m m 2'
_space_group_IT_number 44
loop_
_space_group_symop_operation_xyz
'x,y,z'
'-x,-y,z'
'-x,y,z'
'x,-y,z'
'x+1/2,y+1/2,z+1/2'
'-x+1/2,-y+1/2,z+1/2'
'-x+1/2,y+1/2,z+1/2'
'x+1/2,-y+1/2,z+1/2'
loop_
_atom_site_label
_atom_site_fract_x
_atom_site_fract_y
_atom_site_fract_z
K1 0.000 0.000 0.000
La1 0.000 0.000 0.685
La2 0.000 0.500 0.830
W1 0.000 0.500 0.310
```

* energy above the lowest structure with this stoichiometry: 0.274 eV/atom
* magnetization: 0.556 μB/f.u.
* total DFT energy (no corrections): -41.720 eV/cell

# 15
The following is a DFT calculation (PBE) of KLaW after structural relaxation.

```
data_KLaW
_cell_length_a 3.1079
_cell_length_b 3.1079
_cell_length_c 9.6373
_cell_angle_alpha 90.00
_cell_angle_beta 90.00
_cell_angle_gamma 120.00
_space_group_name_H-M_alt 'P 3 m 1'
_space_group_IT_number 156
loop_
_space_group_symop_operation_xyz
'x,y,z'
'-y,x-y,z'
'-x+y,-x,z'
'-y,-x,z'
'-x+y,y,z'
'x,x-y,z'
loop_
_atom_site_label
_atom_site_fract_x
_atom_site_fract_y
_atom_site_fract_z
K1 0.0000 0.0000 0.0000
La1 0.6667 0.3333 0.4081
W1 0.3333 0.6667 0.6875
```

* energy above the lowest structure with this stoichiometry: 0.114 eV/atom
* magnetization: 0.000 μB/f.u.
* total DFT energy (no corrections): -15.364 eV/cell